No. 1
Below is a crystal of CoHgN2 relaxed with PBEsol, with properties calculated at the meta-GGA SCAN level.

total DFT energy (no corrections) = -98.25 eV per cell
SG = No. 166
formation energy without anion corrections = 33.45 kcal/mol of atoms

```
4
Lattice="-1.794 2.777 -0.079 -1.590 0.863 -2.768 -5.819 -1.766 0.817" Properties=species:S:1:pos:R:3 pbc="T T T"
Co 0.000 0.000 0.000
Hg -4.602 0.937 -1.015
N -4.762 2.765 -2.329
N -4.442 -0.891 0.299
```


No. 2
Below is a crystal of CoHgN3 relaxed with PBEsol, with properties calculated at the meta-GGA SCAN level.

total DFT energy (no corrections) = -106.14 eV per cell
SG = No. 221
formation energy without anion corrections = 33.20 kcal/mol of atoms

```
5
Lattice="-1.481 1.352 3.207 -3.443 -0.060 -1.564 -0.508 -3.532 1.254" Properties=species:S:1:pos:R:3 pbc="T T T"
Co 0.000 0.000 0.000
Hg -2.716 -1.120 1.449
N -1.722 -0.030 -0.782
N -0.254 -1.766 0.627
N -0.740 0.676 1.604
```


No. 3
Below is a crystal of CoHgN2 relaxed with PBEsol, with properties calculated at the meta-GGA SCAN level.

total DFT energy (no corrections) = -201.78 eV per cell
SG = No. 122
formation energy without anion corrections = 18.24 kcal/mol of atoms

```
8
Lattice="5.077 0.000 0.000 -2.538 4.661 0.012 0.000 -2.776 4.250" Properties=species:S:1:pos:R:3 pbc="T T T"
Co 2.538 1.636 1.069
Co 2.538 -1.388 2.125
Hg 0.000 0.248 3.194
Hg 0.000 0.000 0.000
N 3.293 -1.264 3.722
N 1.784 0.124 1.597
N 1.269 2.867 0.972
N -1.269 2.042 2.235
```


No. 4
Below is a crystal of CoHgNO2 relaxed with PBEsol, with properties calculated at the meta-GGA SCAN level.

total DFT energy (no corrections) = -106.01 eV per cell
SG = No. 123
formation energy without anion corrections = 5.58 kcal/mol of atoms

```
5
Lattice="-0.580 -2.296 2.407 -1.559 -2.444 -2.706 3.582 -1.576 -0.640" Properties=species:S:1:pos:R:3 pbc="T T T"
Co 0.000 0.000 0.000
Hg 0.722 -3.158 -0.469
O 1.791 -0.788 -0.320
O -0.779 -1.222 -1.353
N -0.290 -1.148 1.204
```


The highest total DFT energy (no corrections) belongs to which entry? number 1